CuAg | PBE | relaxed

The structure in extended XYZ format:
```
2
Lattice="4.6902 -0.0222 -0.0136 3.8512 2.6770 -0.0136 3.8512 1.1970 2.3945" Properties=species:S:1:pos:R:3 pbc="T T T"
Ag 0.0000 0.0000 0.0000
Cu 6.1963 1.9259 1.1836
```

Calculated values
- DFT formation energy (eV/f.u.) = 0.30
- M_tot (μB/f.u.) = 0.00

=====

CuAg | PBE | relaxed

The structure in extended XYZ format:
```
4
Lattice="-6.2969 -3.7987 -5.1050 -4.0108 -4.5388 -6.5921 -4.8397 -6.1141 -4.3974" Properties=species:S:1:pos:R:3 pbc="T T T"
Ag -0.0839 -0.0801 -0.0892
Ag -3.7030 -3.5328 -3.9345
Cu -7.4874 -7.1434 -7.9556
Cu -11.4469 -10.9210 -12.1626
```

Calculated values
- DFT formation energy (eV/f.u.) = 0.27
- M_tot (μB/f.u.) = 0.00

=====

CuAg | PBE | relaxed

The structure in extended XYZ format:
```
12
Lattice="2.8085 0.0000 0.0000 0.0000 13.8602 0.0000 0.0000 0.0000 4.6393" Properties=species:S:1:pos:R:3 pbc="T T T"
Cu 1.4042 11.8141 2.8616
Cu 1.4042 2.0461 2.8616
Cu 1.4042 4.8840 0.5419
Cu 1.4042 8.9762 0.5419
Cu 0.0000 0.0000 2.3600
Cu 0.0000 6.9301 0.0403
Ag 0.0000 4.4038 2.8894
Ag 0.0000 9.4564 2.8894
Ag 0.0000 11.3339 0.5698
Ag 0.0000 2.5263 0.5698
Ag 1.4042 0.0000 0.0651
Ag 1.4042 6.9301 2.3848
```

Calculated values
- DFT formation energy (eV/f.u.) = 0.20
- M_tot (μB/f.u.) = 0.00

=====

What is the M_tot in the first record?
0.00 μB/f.u.

=====

Copy entry 3 word for word.
CuAg | PBE | relaxed

The structure in extended XYZ format:
```
12
Lattice="2.8085 0.0000 0.0000 0.0000 13.8602 0.0000 0.0000 0.0000 4.6393" Properties=species:S:1:pos:R:3 pbc="T T T"
Cu 1.4042 11.8141 2.8616
Cu 1.4042 2.0461 2.8616
Cu 1.4042 4.8840 0.5419
Cu 1.4042 8.9762 0.5419
Cu 0.0000 0.0000 2.3600
Cu 0.0000 6.9301 0.0403
Ag 0.0000 4.4038 2.8894
Ag 0.0000 9.4564 2.8894
Ag 0.0000 11.3339 0.5698
Ag 0.0000 2.5263 0.5698
Ag 1.4042 0.0000 0.0651
Ag 1.4042 6.9301 2.3848
```

Calculated values
- DFT formation energy (eV/f.u.) = 0.20
- M_tot (μB/f.u.) = 0.00